12
Lattice="7.559 0.000 0.000 0.000 7.559 0.000 0.000 0.000 5.991" Properties=species:S:1:pos:R:3 comment="PBE Na4AgHg, relaxed" ef_ev_per_atom=-0.118 final_energy_ha_per_atom=-0.05596 e_above_lowest_polymorph_mev_per_atom=0.0 vol_a3_per_cell=342.4 space_group=P4/mcc density_g_cm3=3.884 pbc="T T T"
Na 1.227 2.478 0.000
Na 1.227 5.081 2.996
Na 2.478 1.227 2.996
Na 2.478 6.332 0.000
Na 5.081 1.227 0.000
Na 5.081 6.332 2.996
Na 6.332 2.478 2.996
Na 6.332 5.081 0.000
Ag 0.000 0.000 1.498
Ag 0.000 0.000 4.494
Hg 3.780 3.780 1.498
Hg 3.780 3.780 4.494